# 1
SmSc3Co8 | PBE-GGA | optimized geometry

abc: 4.9383 4.9383 24.3084
angles: 90.00 90.00 120.00
Space group R3m (No. 160, hexagonal axes)
Inequivalent atoms, fractional coordinates:
1 Sm 0.0000 0.0000 0.0000 x3
2 Sc 0.0000 0.0000 0.1268 x3
3 Sc 0.0000 0.0000 0.4997 x3
4 Sc 0.0000 0.0000 0.6222 x3
5 Co 0.0000 0.0000 0.3117 x3
6 Co 0.0000 0.0000 0.8128 x3
7 Co 0.0030 0.5015 0.0652 x9
8 Co 0.1690 0.3381 0.8934 x9

- ΔE_f (eV per atom) = -0.27

# 2
SrTiCu3 | PBE-GGA | optimized geometry

abc: 5.041 5.041 5.041
angles: 90.00 90.00 90.00
Space group Pm-3m (No. 221)
Inequivalent atoms, fractional coordinates:
1 Sr 0.000 0.000 0.000 x1
2 Ti 0.500 0.500 0.500 x1
3 Cu 0.000 0.000 0.500 x3

- ΔE_f (eV per atom) = 1.50
- offset from the most stable computed form (meV per atom) = 1030

# 3
AlZnHRh2 | PBE-GGA | optimized geometry

abc: 4.049 4.049 3.531
angles: 90.00 90.00 90.00
Space group P4/mmm (No. 123)
Inequivalent atoms, fractional coordinates:
1 Al 0.000 0.000 0.000 x1
2 Zn 0.500 0.500 0.000 x1
3 H 0.500 0.500 0.500 x1
4 Rh 0.000 0.500 0.500 x2

# 4
TiCu2Cl | PBE-GGA | optimized geometry

abc: 7.249 7.249 4.827
angles: 90.00 90.00 90.00
Space group I-42d (No. 122)
Inequivalent atoms, fractional coordinates:
1 Ti 0.000 0.000 0.000 x4
2 Cu 0.234 0.250 0.625 x8
3 Cl 0.000 0.000 0.500 x4

- offset from the most stable computed form (meV per atom) = 0

# 5
CaZn2In | PBE-GGA | optimized geometry

abc: 3.649 4.338 5.978
angles: 90.00 107.44 90.00
Space group Pm (No. 6)
Inequivalent atoms, fractional coordinates:
1 Ca 0.000 0.000 0.000 x1
2 Zn 0.275 0.000 0.543 x1
3 Zn 0.390 0.500 0.777 x1
4 In 0.681 0.500 0.357 x1

- ΔE_f (eV per atom) = -0.19

# 6
Ho2MnCdC | PBE-GGA | optimized geometry

abc: 5.017 5.017 3.801
angles: 90.00 90.00 90.00
Space group P4/mmm (No. 123)
Inequivalent atoms, fractional coordinates:
1 Ho 0.000 0.500 0.000 x2
2 Mn 0.000 0.000 0.500 x1
3 Cd 0.500 0.500 0.500 x1
4 C 0.000 0.000 0.000 x1

- ΔE_f (eV per atom) = -0.27

# 7
Li2P2I | PBE-GGA | optimized geometry

abc: 5.258 5.258 8.876
angles: 90.00 90.00 90.00
Space group I4/mmm (No. 139)
Inequivalent atoms, fractional coordinates:
1 Li 0.000 0.500 0.250 x4
2 P 0.000 0.000 0.111 x4
3 I 0.000 0.000 0.500 x2

- offset from the most stable computed form (meV per atom) = 125

# 8
RbW2SeN | PBE-GGA | optimized geometry

abc: 4.130 4.130 5.643
angles: 90.00 90.00 90.00
Space group P4/mmm (No. 123)
Inequivalent atoms, fractional coordinates:
1 Rb 0.000 0.000 0.000 x1
2 W 0.000 0.500 0.500 x2
3 Se 0.500 0.500 0.000 x1
4 N 0.000 0.000 0.500 x1

Number 1: E_tot -6.986 eV per atom. Number 2: E_tot -2.875 eV per atom. Number 3: E_tot -5.071 eV per atom. Number 4: E_tot -4.356 eV per atom. Number 5: E_tot -2.016 eV per atom. Number 6: E_tot -5.966 eV per atom. Number 7: E_tot -3.408 eV per atom. Number 8: E_tot -6.948 eV per atom.